No. 1
A relaxed structure of Ti2TcNi, computed with PBE.

Results
* calculated volume: 15.14 Å³/atom
* excess energy over the best structure of this formula in the dataset: 553.2 meV/atom
* DFT total energy: -126.8 eV per cell
* formation enthalpy at 0 K: 0.057 eV per atom

Cell: 6.688 6.688 5.415 Å, 90.00 90.00 90.00°
Space group I-42d (No. 122)
Unique sites:
Ti1 0.240 0.250 0.125 x8
Tc1 0.000 0.000 0.500 x4
Ni1 0.000 0.000 0.000 x4

---

No. 2
A relaxed structure of Pr8Ga3AuBr4, computed with PBE.

Results
* formation energy from raw total energies: -0.915 eV/atom
* calculated volume: 29.69 Å³/atom
* DFT total energy: -143.9 eV per cell

Cell: 15.106 8.710 8.806 Å, 90.00 124.92 90.00°
Space group C2/m (No. 12)
Unique sites:
Pr1 0.008 0.247 0.270 x8
Pr2 0.244 0.000 0.731 x4
Pr3 0.245 0.500 0.730 x4
Ga1 0.000 0.000 0.500 x2
Ga2 0.250 0.250 0.500 x4
Au1 0.000 0.500 0.500 x2
Br1 0.000 0.000 0.000 x2
Br2 0.000 0.500 0.000 x2
Br3 0.250 0.250 0.000 x4

---

No. 3
A relaxed structure of Ce4Ga2Si, computed with PBE.

Results
* formation energy from raw total energies: -0.284 eV/atom
* calculated volume: 26.27 Å³/atom
* DFT total energy: -111.6 eV per cell

Cell: 4.3451 4.3451 33.7353 Å, 90.00 90.00 120.00°
Space group R-3m (No. 166, hexagonal axes)
Unique sites:
Ce1 0.0000 0.0000 0.1198 x6
Ce2 0.0000 0.0000 0.3132 x6
Ga1 0.0000 0.0000 0.4040 x6
Si1 0.0000 0.0000 0.5000 x3

---

No. 4
A relaxed structure of Zn4Ag5Au, computed with PBE.

Results
* calculated volume: 17.31 Å³/atom
* excess energy over the best structure of this formula in the dataset: 0.0 meV/atom
* DFT total energy: -45.2 eV per cell
* formation enthalpy at 0 K: 0.001 eV per atom

Cell: 14.155 2.916 8.485 Å, 90.00 98.63 90.00°
Space group C2/m (No. 12)
Unique sites:
Zn1 0.041 0.000 0.260 x4
Zn2 0.184 0.500 0.414 x4
Ag1 0.000 0.500 0.000 x2
Ag2 0.152 0.000 0.732 x4
Ag3 0.186 0.000 0.089 x4
Au1 0.000 0.500 0.500 x2

---

No. 5
A relaxed structure of CaMg2Zn3, computed with PBE.

Results
* calculated volume: 21.88 Å³/atom
* excess energy over the best structure of this formula in the dataset: 123.4 meV/atom
* DFT total energy: -27.4 eV per cell
* formation enthalpy at 0 K: -0.021 eV per atom

Cell: 5.2624 5.2624 16.4191 Å, 90.00 90.00 120.00°
Space group R-3m (No. 166, hexagonal axes)
Unique sites:
Ca1 0.0000 0.0000 0.0000 x3
Mg1 0.0000 0.0000 0.4073 x6
Zn1 0.0000 0.5000 0.5000 x9

---

No. 6
A relaxed structure of PmThRuPt, computed with PBE.

Results
* calculated volume: 22.62 Å³/atom
* excess energy over the best structure of this formula in the dataset: 155.4 meV/atom
* DFT total energy: -120.5 eV per cell
* formation enthalpy at 0 K: -0.660 eV per atom

Cell: 7.127 7.127 7.127 Å, 90.00 90.00 90.00°
Space group F-43m (No. 216)
Unique sites:
Pm1 0.000 0.000 0.000 x4
Th1 0.000 0.000 0.500 x4
Ru1 0.250 0.250 0.750 x4
Pt1 0.250 0.250 0.250 x4

---

No. 7
A relaxed structure of CdIrRh3, computed with PBE.

Results
* calculated volume: 21.34 Å³/atom
* excess energy over the best structure of this formula in the dataset: 0.0 meV/atom
* DFT total energy: -26.3 eV per cell
* formation enthalpy at 0 K: 1.113 eV per atom

Cell: 4.743 4.743 4.743 Å, 90.00 90.00 90.00°
Space group Pm-3m (No. 221)
Unique sites:
Cd1 0.000 0.000 0.000 x1
Ir1 0.500 0.500 0.500 x1
Rh1 0.000 0.500 0.500 x3

---

No. 8
A relaxed structure of TbPrY2Ho6, computed with PBE.

Results
* calculated volume: 32.38 Å³/atom
* DFT total energy: -194.2 eV per cell
* formation enthalpy at 0 K: 0.126 eV per atom

Cell: 9.281 14.991 9.341 Å, 90.00 94.71 90.00°
Space group C2/c (No. 15)
Unique sites:
Tb1 0.000 0.088 0.250 x4
Pr1 0.000 0.463 0.750 x4
Y1 0.247 0.051 0.947 x8
Ho1 0.061 0.321 0.441 x8
Ho2 0.093 0.117 0.612 x8
Ho3 0.217 0.273 0.818 x8

---

No. 9
A relaxed structure of Pa2CuSi4Ni3, computed with PBE.

Results
* formation energy from raw total energies: -0.717 eV/atom
* calculated volume: 15.17 Å³/atom
* DFT total energy: -69.3 eV per cell

Cell: 4.029 4.029 9.348 Å, 90.00 90.00 90.00°
Space group P-4m2 (No. 115)
Unique sites:
Pa1 0.000 0.500 0.250 x2
Cu1 0.000 0.000 0.500 x1
Si1 0.000 0.000 0.000 x1
Si2 0.000 0.500 0.633 x2
Si3 0.500 0.500 0.000 x1
Ni1 0.000 0.500 0.878 x2
Ni2 0.500 0.500 0.500 x1

---

No. 10
A relaxed structure of Ce7Ge5Pb, computed with PBE.

Results
* calculated volume: 25.71 Å³/atom
* DFT total energy: -149.5 eV per cell
* formation enthalpy at 0 K: -0.492 eV per atom

Cell: 6.087 10.749 10.216 Å, 90.00 90.00 90.00°
Space group Imm2 (No. 44)
Unique sites:
Ce1 0.000 0.000 0.000 x2
Ce2 0.000 0.000 0.370 x2
Ce3 0.000 0.317 0.677 x4
Ce4 0.000 0.335 0.133 x4
Ce5 0.000 0.500 0.343 x2
Ge1 0.000 0.500 0.895 x2
Ge2 0.221 0.259 0.413 x8
Pb1 0.000 0.000 0.678 x2

---

No. 11
A relaxed structure of Li9Tl3Hg2, computed with PBE.

Results
* calculated volume: 19.85 Å³/atom
* DFT total energy: -55.0 eV per cell
* formation enthalpy at 0 K: -0.184 eV per atom

Cell: 4.512 10.636 11.582 Å, 90.00 90.00 90.00°
Space group Immm (No. 71)
Unique sites:
Li1 0.000 0.000 0.000 x2
Li2 0.000 0.120 0.377 x8
Li3 0.000 0.221 0.142 x8
Tl1 0.000 0.500 0.000 x2
Tl2 0.000 0.500 0.280 x4
Hg1 0.000 0.334 0.500 x4

---

No. 12
A relaxed structure of Pu12InRh7, computed with PBE.

Results
* calculated volume: 18.15 Å³/atom
* DFT total energy: -683.9 eV per cell
* formation enthalpy at 0 K: -0.089 eV per atom

Cell: 10.2189 10.2189 12.0435 Å, 90.00 90.00 120.00°
Space group R-3 (No. 148, hexagonal axes)
Unique sites:
Pu1 0.0010 0.5609 0.2782 x18
Pu2 0.0484 0.7722 0.4104 x18
In1 0.0000 0.0000 0.0000 x3
Rh1 0.0000 0.0000 0.5000 x3
Rh2 0.0566 0.1818 0.8120 x18